a:
# GGA-PBE LiTl2Hg2, relaxed
data_LiTl2Hg2
_cell_length_a 4.166
_cell_length_b 4.166
_cell_length_c 16.518
_cell_angle_alpha 90.00
_cell_angle_beta 90.00
_cell_angle_gamma 90.00
_space_group_name_H-M_alt 'I 4/m m m'
_space_group_IT_number 139
_space_group_name_Hall '-I 4 2'
loop_
_atom_site_label
_atom_site_fract_x
_atom_site_fract_y
_atom_site_fract_z
Li1 0.000 0.000 0.000
Tl1 0.000 0.000 0.405
Hg1 0.000 0.500 0.250
# calculated volume: 28.664 Å³ per atom
# ρ: 9.5 g/cm³
# total magnetic moment: 0.00 μB/f.u.

***

b:
# GGA-PBE LiTl2Hg2, relaxed
data_LiTl2Hg2
_cell_length_a 6.526
_cell_length_b 13.033
_cell_length_c 6.417
_cell_angle_alpha 90.00
_cell_angle_beta 90.00
_cell_angle_gamma 90.00
_space_group_name_H-M_alt 'I b a m'
_space_group_IT_number 72
_space_group_name_Hall '-I 2 2c'
loop_
_atom_site_label
_atom_site_fract_x
_atom_site_fract_y
_atom_site_fract_z
Li1 0.000 0.000 0.250
Tl1 0.214 0.362 0.000
Hg1 0.242 0.125 0.000
# calculated volume: 27.291 Å³ per atom
# ρ: 9.9 g/cm³
# total magnetic moment: 0.00 μB/f.u.

***

Going by the energies, b is most stable and the next is 0.131 eV/atom up.

***

a:
# GGA-PBE LiTl2Hg2, relaxed
data_LiTl2Hg2
_cell_length_a 7.489
_cell_length_b 7.489
_cell_length_c 4.837
_cell_angle_alpha 90.00
_cell_angle_beta 90.00
_cell_angle_gamma 90.00
_space_group_name_H-M_alt 'P 4/m b m'
_space_group_IT_number 127
_space_group_name_Hall '-P 4 2ab'
loop_
_atom_site_label
_atom_site_fract_x
_atom_site_fract_y
_atom_site_fract_z
Li1 0.000 0.000 0.000
Tl1 0.172 0.328 0.500
Hg1 0.144 0.644 0.000
# calculated volume: 27.131 Å³ per atom
# ρ: 10.0 g/cm³
# total magnetic moment: 0.00 μB/f.u.

***

b:
# GGA-PBE LiTl2Hg2, relaxed
data_LiTl2Hg2
_cell_length_a 4.464
_cell_length_b 4.464
_cell_length_c 15.095
_cell_angle_alpha 90.00
_cell_angle_beta 90.00
_cell_angle_gamma 90.00
_space_group_name_H-M_alt 'I 4/m m m'
_space_group_IT_number 139
_space_group_name_Hall '-I 4 2'
loop_
_atom_site_label
_atom_site_fract_x
_atom_site_fract_y
_atom_site_fract_z
Li1 0.000 0.000 0.000
Tl1 0.000 0.500 0.250
Hg1 0.000 0.000 0.407
# calculated volume: 30.087 Å³ per atom
# ρ: 9.0 g/cm³
# total magnetic moment: 0.00 μB/f.u.

***

Going by the energies, a is most stable and the next is 0.116 eV/atom up.

***

a:
# GGA-PBE Li2Tl2Hg7, relaxed
data_Li2Tl2Hg7
_cell_length_a 11.016
_cell_length_b 8.949
_cell_length_c 5.921
_cell_angle_alpha 90.00
_cell_angle_beta 102.80
_cell_angle_gamma 90.00
_space_group_name_H-M_alt 'C 1 2/m 1'
_space_group_IT_number 12
loop_
_space_group_symop_operation_xyz
'x,y,z'
'-x,-y,-z'
'-x,y,-z'
'x,-y,z'
'x+1/2,y+1/2,z'
'-x+1/2,-y+1/2,-z'
'-x+1/2,y+1/2,-z'
'x+1/2,-y+1/2,z'
loop_
_atom_site_label
_atom_site_fract_x
_atom_site_fract_y
_atom_site_fract_z
Li1 0.238 0.000 0.316
Tl1 0.000 0.180 0.000
Hg1 0.000 0.000 0.500
Hg2 0.014 0.500 0.748
Hg3 0.240 0.177 0.741
# calculated volume: 25.870 Å³ per atom
# ρ: 10.7 g/cm³
# total magnetic moment: 0.00 μB/f.u.

***

b:
# GGA-PBE Li2Tl2Hg7, relaxed
data_Li2Tl2Hg7
_cell_length_a 14.851
_cell_length_b 10.616
_cell_length_c 3.574
_cell_angle_alpha 90.00
_cell_angle_beta 103.43
_cell_angle_gamma 90.00
_space_group_name_H-M_alt 'C 1 2/m 1'
_space_group_IT_number 12
loop_
_space_group_symop_operation_xyz
'x,y,z'
'-x,-y,-z'
'-x,y,-z'
'x,-y,z'
'x+1/2,y+1/2,z'
'-x+1/2,-y+1/2,-z'
'-x+1/2,y+1/2,-z'
'x+1/2,-y+1/2,z'
loop_
_atom_site_label
_atom_site_fract_x
_atom_site_fract_y
_atom_site_fract_z
Li1 0.000 0.216 0.000
Tl1 0.114 0.500 0.130
Hg1 0.000 0.000 0.500
Hg2 0.155 0.246 0.659
Hg3 0.191 0.000 0.194
# calculated volume: 24.914 Å³ per atom
# ρ: 11.1 g/cm³
# total magnetic moment: 0.00 μB/f.u.

***

Going by the energies, b is most stable and the next is 0.024 eV/atom up.

***

a:
# GGA-PBE LiTl2Hg5, relaxed
data_LiTl2Hg5
_cell_length_a 4.753
_cell_length_b 4.753
_cell_length_c 18.198
_cell_angle_alpha 90.00
_cell_angle_beta 90.00
_cell_angle_gamma 90.00
_space_group_name_H-M_alt 'I 4/m m m'
_space_group_IT_number 139
_space_group_name_Hall '-I 4 2'
loop_
_atom_site_label
_atom_site_fract_x
_atom_site_fract_y
_atom_site_fract_z
Li1 0.000 0.000 0.000
Tl1 0.000 0.000 0.249
Hg1 0.000 0.000 0.500
Hg2 0.000 0.500 0.114
# calculated volume: 25.692 Å³ per atom
# ρ: 11.5 g/cm³
# total magnetic moment: 0.00 μB/f.u.

***

b:
# GGA-PBE LiTl2Hg5, relaxed
data_LiTl2Hg5
_cell_length_a 6.261
_cell_length_b 6.668
_cell_length_c 6.692
_cell_angle_alpha 115.87
_cell_angle_beta 90.57
_cell_angle_gamma 117.77
_space_group_name_H-M_alt 'P 1'
_space_group_IT_number 1
loop_
_space_group_symop_operation_xyz
'x,y,z'
loop_
_atom_site_label
_atom_site_fract_x
_atom_site_fract_y
_atom_site_fract_z
Li1 0.000 0.000 0.000
Tl1 0.495 0.008 0.754
Tl2 0.503 0.990 0.251
Hg1 0.000 0.000 0.502
Hg2 0.005 0.525 0.769
Hg3 0.482 0.471 0.242
Hg4 0.519 0.528 0.760
Hg5 0.995 0.474 0.243
# calculated volume: 26.787 Å³ per atom
# ρ: 11.0 g/cm³
# total magnetic moment: 0.00 μB/f.u.

***

Going by the energies, a is most stable and the next is 0.023 eV/atom up.

***

a:
# GGA-PBE LiTl4Hg2, relaxed
data_LiTl4Hg2
_cell_length_a 8.840
_cell_length_b 9.734
_cell_length_c 4.596
_cell_angle_alpha 90.00
_cell_angle_beta 90.00
_cell_angle_gamma 90.00
_space_group_name_H-M_alt 'C m m m'
_space_group_IT_number 65
_space_group_name_Hall '-C 2 2'
loop_
_atom_site_label
_atom_site_fract_x
_atom_site_fract_y
_atom_site_fract_z
Li1 0.000 0.000 0.000
Tl1 0.182 0.500 0.500
Tl2 0.250 0.250 0.000
Hg1 0.000 0.187 0.500
# calculated volume: 28.248 Å³ per atom
# ρ: 10.3 g/cm³
# total magnetic moment: 0.00 μB/f.u.

***

b:
# GGA-PBE LiTl4Hg2, relaxed
data_LiTl4Hg2
_cell_length_a 5.189
_cell_length_b 5.189
_cell_length_c 15.860
_cell_angle_alpha 90.00
_cell_angle_beta 90.00
_cell_angle_gamma 90.00
_space_group_name_H-M_alt 'I 4/m m m'
_space_group_IT_number 139
_space_group_name_Hall '-I 4 2'
loop_
_atom_site_label
_atom_site_fract_x
_atom_site_fract_y
_atom_site_fract_z
Li1 0.000 0.000 0.000
Tl1 0.000 0.000 0.177
Tl2 0.000 0.500 0.000
Hg1 0.000 0.000 0.367
# calculated volume: 30.502 Å³ per atom
# ρ: 9.5 g/cm³
# total magnetic moment: 0.00 μB/f.u.

***

Going by the energies, a is most stable and the next is 0.115 eV/atom up.

***

a:
# GGA-PBE Li8Tl2Hg, relaxed
data_Li8Tl2Hg
_cell_length_a 14.606
_cell_length_b 4.409
_cell_length_c 6.768
_cell_angle_alpha 90.00
_cell_angle_beta 109.36
_cell_angle_gamma 90.00
_space_group_name_H-M_alt 'C 1 2/m 1'
_space_group_IT_number 12
loop_
_space_group_symop_operation_xyz
'x,y,z'
'-x,-y,-z'
'-x,y,-z'
'x,-y,z'
'x+1/2,y+1/2,z'
'-x+1/2,-y+1/2,-z'
'-x+1/2,y+1/2,-z'
'x+1/2,-y+1/2,z'
loop_
_atom_site_label
_atom_site_fract_x
_atom_site_fract_y
_atom_site_fract_z
Li1 0.036 0.000 0.234
Li2 0.096 0.500 0.943
Li3 0.142 0.000 0.687
Li4 0.175 0.500 0.407
Tl1 0.216 0.000 0.150
Hg1 0.000 0.500 0.500
# calculated volume: 18.693 Å³ per atom
# ρ: 5.4 g/cm³
# total magnetic moment: 0.00 μB/f.u.

***

b:
# GGA-PBE Li8Tl2Hg, relaxed
data_Li8Tl2Hg
_cell_length_a 14.199
_cell_length_b 6.737
_cell_length_c 4.675
_cell_angle_alpha 90.00
_cell_angle_beta 108.70
_cell_angle_gamma 90.00
_space_group_name_H-M_alt 'C 1 2/m 1'
_space_group_IT_number 12
loop_
_space_group_symop_operation_xyz
'x,y,z'
'-x,-y,-z'
'-x,y,-z'
'x,-y,z'
'x+1/2,y+1/2,z'
'-x+1/2,-y+1/2,-z'
'-x+1/2,y+1/2,-z'
'x+1/2,-y+1/2,z'
loop_
_atom_site_label
_atom_site_fract_x
_atom_site_fract_y
_atom_site_fract_z
Li1 0.000 0.213 0.000
Li2 0.147 0.218 0.647
Li3 0.160 0.500 0.163
Tl1 0.196 0.000 0.196
Hg1 0.000 0.500 0.500
# calculated volume: 19.251 Å³ per atom
# ρ: 5.2 g/cm³
# total magnetic moment: 0.00 μB/f.u.

***

Going by the energies, a is most stable and the next is 0.022 eV/atom up.